(1)
Density functional theory data (GGA-PBE) for a relaxed KPrIr2O8 crystal.

## Properties
Total magnetization: 2.10 μB/f.u.
Total DFT energy (no corrections): -6.40 eV per atom
DOS(E_F): 8.03 states/eV/f.u.
Mass density: 4.6 g/cm³

a = 6.052 Å, b = 6.052 Å, c = 7.830 Å
α = 90.00°, β = 90.00°, γ = 120.00°
Atoms (fractional coordinates):
K: 0.000 0.000 0.000
Pr: 0.000 0.000 0.500
Ir: 0.333 0.667 0.786
Ir: 0.667 0.333 0.214
O: 0.168 0.343 0.694
O: 0.175 0.832 0.694
O: 0.333 0.667 0.013
O: 0.343 0.175 0.306
O: 0.657 0.825 0.694
O: 0.667 0.333 0.987
O: 0.825 0.168 0.306
O: 0.832 0.657 0.306


(2)
Density functional theory data (GGA-PBE) for a relaxed La2Tb2YHo2 crystal.

## Properties
Total magnetization: 0.00 μB/f.u.
Calculated formation energy: 31 meV per atom
DOS(E_F): 11.22 states/eV/f.u.
Mass density: 7.2 g/cm³

a = 6.257 Å, b = 6.257 Å, c = 8.059 Å
α = 97.63°, β = 97.63°, γ = 48.20°
Atoms (fractional coordinates):
La: 0.143 0.143 0.427
La: 0.857 0.857 0.573
Tb: 0.429 0.429 0.281
Tb: 0.571 0.571 0.719
Y: 0.000 0.000 0.000
Ho: 0.284 0.284 0.862
Ho: 0.716 0.716 0.138


(3)
Density functional theory data (GGA-PBE) for a relaxed LaSmHf crystal.

## Properties
Total magnetization: 0.00 μB/f.u.
Calculated formation energy: 127 meV per atom
DOS(E_F): 5.05 states/eV/f.u.
Mass density: 8.3 g/cm³

a = 3.811 Å, b = 3.811 Å, c = 12.880 Å
α = 90.00°, β = 90.00°, γ = 90.00°
Atoms (fractional coordinates):
La: 0.250 0.250 0.100
La: 0.750 0.750 0.900
Sm: 0.250 0.250 0.701
Sm: 0.750 0.750 0.299
Hf: 0.250 0.250 0.450
Hf: 0.750 0.750 0.550


(4)
Density functional theory data (GGA-PBE) for a relaxed GaTcS2Cl crystal.

## Properties
Total magnetization: 4.77 μB/f.u.
Total DFT energy (no corrections): -4.16 eV per atom
DOS(E_F): 0.58 states/eV/f.u.
Mass density: 4.2 g/cm³

a = 4.761 Å, b = 4.761 Å, c = 4.713 Å
α = 90.00°, β = 90.00°, γ = 90.00°
Atoms (fractional coordinates):
Ga: 0.000 0.000 0.000
Tc: 0.500 0.500 0.500
S: 0.000 0.500 0.000
S: 0.500 0.000 0.000
Cl: 0.000 0.000 0.500


(5)
Density functional theory data (GGA-PBE) for a relaxed K2SbSe5 crystal.

## Properties
Total magnetization: 0.00 μB/f.u.
Total DFT energy (no corrections): -3.43 eV per atom
DOS(E_F): 2.65 states/eV/f.u.
Mass density: 3.3 g/cm³

a = 8.278 Å, b = 8.278 Å, c = 8.278 Å
α = 137.62°, β = 127.09°, γ = 70.02°
Atoms (fractional coordinates):
K: 0.000 0.000 0.000
K: 0.483 0.483 0.000
Sb: 0.742 0.242 0.500
Se: 0.403 0.482 0.518
Se: 0.403 0.886 0.921
Se: 0.926 0.426 0.500
Se: 0.964 0.482 0.079
Se: 0.964 0.886 0.482


(6)
Density functional theory data (GGA-PBE) for a relaxed DyZnCdPt crystal.

## Properties
Total magnetization: 0.00 μB/f.u.
Calculated formation energy: -591 meV per atom
DOS(E_F): 2.24 states/eV/f.u.
Mass density: 11.3 g/cm³

a = 4.813 Å, b = 4.813 Å, c = 4.813 Å
α = 60.00°, β = 60.00°, γ = 60.00°
Atoms (fractional coordinates):
Dy: 0.000 0.000 0.000
Zn: 0.750 0.750 0.750
Cd: 0.500 0.500 0.500
Pt: 0.250 0.250 0.250